No. 1
The following is a PBE calculation of CsBaCr2Pt after structural relaxation, from the Alexandria database.

Computed properties:
E_tot = -17.97 eV/f.u.
Symmetry = P4/mmm
Formation enthalpy at 0 K = 2.0179 eV/atom

Unit cell a=5.115 b=6.431 c=5.115 alpha=90.00 beta=90.00 gamma=90.00
Fractional positions:
Cr 0.000 0.000 0.500
Pt 0.500 0.500 0.500
Cs 0.000 0.000 0.000
Ba 0.000 0.500 0.000
Cr 0.500 0.000 0.000

No. 2
The following is a PBE calculation of CsRbBaCr2 after structural relaxation, from the Alexandria database.

Computed properties:
E_tot = -15.74 eV/f.u.
Symmetry = P4/mmm
Formation enthalpy at 0 K = 1.4494 eV/atom

Unit cell a=6.509 b=7.010 c=6.509 alpha=90.00 beta=90.00 gamma=90.00
Fractional positions:
Ba 0.000 0.500 0.000
Rb 0.000 0.000 0.000
Cr 0.500 0.000 0.000
Cs 0.500 0.500 0.500
Cr 0.000 0.000 0.500

No. 3
The following is a PBE calculation of CsBaCrSi2 after structural relaxation, from the Alexandria database.

Computed properties:
E_form (uncorrected) = 1.512 eV/atom
E_tot = -15.69 eV/f.u.
Symmetry = P4/mmm

Unit cell a=5.832 b=5.508 c=5.832 alpha=90.00 beta=90.00 gamma=90.00
Fractional positions:
Si 0.500 0.000 0.000
Cr 0.000 0.500 0.000
Ba 0.500 0.500 0.500
Cs 0.000 0.000 0.000
Si 0.000 0.000 0.500

No. 4
The following is a PBE calculation of BaCr4Cu after structural relaxation, from the Alexandria database.

Computed properties:
E_tot = -37.91 eV/f.u.
Symmetry = F-43m
Formation enthalpy at 0 K = 1.1003 eV/atom

Unit cell a=5.116 b=5.116 c=5.116 alpha=60.00 beta=60.00 gamma=60.00
Fractional positions:
Cr 0.855 0.382 0.382
Cr 0.382 0.855 0.382
Cu 0.750 0.750 0.750
Cr 0.382 0.382 0.382
Ba 0.000 0.000 0.000
Cr 0.382 0.382 0.855

No. 5
The following is a PBE calculation of BaCr3Cu after structural relaxation, from the Alexandria database.

Computed properties:
Polymorph energy (0 for the lowest one) = 152.8 kJ/mol of atoms
E_tot = -21.97 eV/f.u.
Symmetry = Pm-3m
Formation enthalpy at 0 K = 2.5838 eV/atom

Unit cell a=5.054 b=5.054 c=5.054 alpha=90.00 beta=90.00 gamma=90.00
Fractional positions:
Ba 0.000 0.000 0.000
Cu 0.500 0.500 0.500
Cr 0.500 0.000 0.000
Cr 0.000 0.500 0.000
Cr 0.000 0.000 0.500

No. 6
The following is a PBE calculation of BaCrCu2 after structural relaxation, from the Alexandria database.

Computed properties:
E_tot = -17.99 eV/f.u.
Symmetry = I4_1/amd
Formation enthalpy at 0 K = 0.4364 eV/atom

Unit cell a=4.900 b=4.900 c=9.420 alpha=74.92 beta=74.92 gamma=90.00
Fractional positions:
Cu 0.375 0.125 0.250
Cr 0.500 0.500 0.000
Ba 0.750 0.250 0.500
Cu 0.875 0.625 0.750
Ba 0.000 0.000 0.000
Cu 0.375 0.625 0.750
Cr 0.250 0.750 0.500
Cu 0.375 0.625 0.250

No. 7
The following is a PBE calculation of BaCrCu2 after structural relaxation, from the Alexandria database.

Computed properties:
E_tot = -18.04 eV/f.u.
Symmetry = Pm
Formation enthalpy at 0 K = 0.4236 eV/atom

Unit cell a=4.014 b=3.805 c=6.477 alpha=73.19 beta=90.00 gamma=90.00
Fractional positions:
Cu 0.500 0.097 0.182
Cr 0.500 0.736 0.901
Cu 0.000 0.203 0.963
Ba 0.000 0.464 0.454

No. 8
The following is a PBE calculation of BaCrCu2 after structural relaxation, from the Alexandria database.

Computed properties:
E_tot = -18.59 eV/f.u.
Symmetry = Cm
Formation enthalpy at 0 K = 0.2873 eV/atom

Unit cell a=4.378 b=4.378 c=6.256 alpha=69.47 beta=69.47 gamma=60.02
Fractional positions:
Ba 0.499 0.499 0.504
Cr 0.310 0.310 0.070
Cu 0.687 0.687 0.938
Cu 0.004 0.004 0.988